No. 1
This record from the Alexandria database describes crystalline RbCrIn2Hg at its relaxed geometry. The functional is PBE.

Results
Total moment: 0.940 μB/atom
Crystal system: tetragonal
Final energy: -0.102 hartree per atom
Energy of formation: 0.508 eV/atom
Fermi-level density of states: 0.705 states/eV per atom
Space-group type: P4/mmm

Unit cell a=5.689 b=5.510 c=5.689 alpha=90.00 beta=90.00 gamma=90.00
Each line ends with the local moment (μB).
Fractional positions:
Cr (0.000, 0.500, 0.000)  4.14
In (0.500, 0.000, 0.000)  -0.02
In (0.000, 0.000, 0.500)  -0.04
Hg (0.000, 0.000, 0.000)  0.01
Rb (0.500, 0.500, 0.500)  0.00

---

No. 2
This record from the Alexandria database describes crystalline CrInHg2Sb at its relaxed geometry. The functional is PBE.

Results
Total moment: 0.703 μB/atom
Crystal system: tetragonal
ΔE_f (raw): 0.806 eV/atom
Final energy: -0.096 hartree per atom
Fermi-level density of states: 0.813 states/eV per atom
Space-group type: P4/mmm

Unit cell a=5.415 b=5.317 c=5.415 alpha=90.00 beta=90.00 gamma=90.00
Each line ends with the local moment (μB).
Fractional positions:
Hg (0.000, 0.000, 0.500)  -0.01
Hg (0.500, 0.000, 0.000)  -0.03
In (0.000, 0.000, 0.000)  0.01
Sb (0.500, 0.500, 0.500)  -0.38
Cr (0.000, 0.500, 0.000)  3.94

---

No. 3
This record from the Alexandria database describes crystalline CrInHg2Se at its relaxed geometry. The functional is PBE.

Results
Total moment: 1.020 μB/atom
Crystal system: tetragonal
ΔE_f (raw): 0.641 eV/atom
Final energy: -0.097 hartree per atom
Fermi-level density of states: 0.489 states/eV per atom
Space-group type: P4/mmm

Unit cell a=5.540 b=5.406 c=5.540 alpha=90.00 beta=90.00 gamma=90.00
Each line ends with the local moment (μB).
Fractional positions:
Se (0.000, 0.500, 0.000)  -0.07
Hg (0.500, 0.000, 0.000)  0.02
Hg (0.000, 0.000, 0.500)  0.01
In (0.000, 0.000, 0.000)  -0.03
Cr (0.500, 0.500, 0.500)  4.36

---

No. 4
This record from the Alexandria database describes crystalline CrIn2HgSe at its relaxed geometry. The functional is PBE.

Results
Total moment: 0.895 μB/atom
Crystal system: tetragonal
ΔE_f (raw): 0.620 eV/atom
Final energy: -0.116 hartree per atom
Fermi-level density of states: 0.718 states/eV per atom
Space-group type: P4/mmm

Unit cell a=5.451 b=5.222 c=5.451 alpha=90.00 beta=90.00 gamma=90.00
Each line ends with the local moment (μB).
Fractional positions:
In (0.000, 0.000, 0.500)  0.00
In (0.500, 0.000, 0.000)  0.01
Cr (0.000, 0.500, 0.000)  4.02
Hg (0.000, 0.000, 0.000)  0.03
Se (0.500, 0.500, 0.500)  -0.10

---

No. 5
This record from the Alexandria database describes crystalline CrInTcHg2 at its relaxed geometry. The functional is PBE.

Results
Total moment: 0.190 μB/atom
Crystal system: tetragonal
Final energy: -0.114 hartree per atom
Energy of formation: 1.576 eV/atom
Fermi-level density of states: 2.175 states/eV per atom
Space-group type: P4/mmm

Unit cell a=5.329 b=5.329 c=5.214 alpha=90.00 beta=90.00 gamma=90.00
Each line ends with the local moment (μB).
Fractional positions:
Cr (0.500, 0.500, 0.500)  -0.54
Hg (0.500, 0.000, 0.000)  -0.01
Hg (0.000, 0.500, 0.000)  -0.01
Tc (0.000, 0.000, 0.000)  -0.25
In (0.000, 0.000, 0.500)  0.00

---

No. 6
This record from the Alexandria database describes crystalline CrHgIr3 at its relaxed geometry. The functional is PBE.

Results
Total moment: 0.000 μB/atom
Crystal system: cubic
Final energy: -0.223 hartree per atom
Energy of formation: 1.236 eV/atom
Fermi-level density of states: 0.987 states/eV per atom
Space-group type: Pm-3m

Unit cell a=4.526 b=4.526 c=4.526 alpha=90.00 beta=90.00 gamma=90.00
Fractional positions:
Hg (0.500, 0.500, 0.500)
Ir (0.000, 0.500, 0.000)
Ir (0.000, 0.000, 0.500)
Ir (0.500, 0.000, 0.000)
Cr (0.000, 0.000, 0.000)

---

No. 7
This record from the Alexandria database describes crystalline Cr2HgIr2 at its relaxed geometry. The functional is PBE.

Results
Total moment: 0.000 μB/atom
Crystal system: tetragonal
Final energy: -0.267 hartree per atom
Energy of formation: 0.183 eV/atom
Fermi-level density of states: 0.893 states/eV per atom
Space-group type: P4/mbm

Unit cell a=7.448 b=7.448 c=2.723 alpha=90.00 beta=90.00 gamma=90.00
Fractional positions:
Ir (0.166, 0.666, 0.500)
Ir (0.834, 0.334, 0.500)
Ir (0.334, 0.166, 0.500)
Ir (0.666, 0.834, 0.500)
Hg (0.500, 0.500, 0.000)
Hg (0.000, 0.000, 0.000)
Cr (0.616, 0.116, 0.000)
Cr (0.884, 0.616, 0.000)
Cr (0.384, 0.884, 0.000)
Cr (0.116, 0.384, 0.000)

---

No. 8
This record from the Alexandria database describes crystalline CrHg4Ir at its relaxed geometry. The functional is PBE.

Results
Total moment: 0.622 μB/atom
Crystal system: cubic
Final energy: -0.091 hartree per atom
Energy of formation: 0.814 eV/atom
Fermi-level density of states: 0.766 states/eV per atom
Space-group type: F-43m

Unit cell a=5.602 b=5.602 c=5.602 alpha=60.00 beta=60.00 gamma=60.00
Each line ends with the local moment (μB).
Fractional positions:
Hg (0.375, 0.874, 0.375)  -0.03
Hg (0.874, 0.375, 0.375)  -0.03
Hg (0.375, 0.375, 0.375)  -0.03
Hg (0.375, 0.375, 0.874)  -0.03
Ir (0.750, 0.750, 0.750)  -0.24
Cr (0.000, 0.000, 0.000)  3.81

---

No. 9
This record from the Alexandria database describes crystalline Cr2HgIr2 at its relaxed geometry. The functional is PBE.

Results
Total moment: 0.000 μB/atom
Crystal system: tetragonal
Final energy: -0.262 hartree per atom
Energy of formation: 0.320 eV/atom
Fermi-level density of states: 0.993 states/eV per atom
Space-group type: I4/mmm

Unit cell a=3.943 b=3.943 c=5.793 alpha=70.10 beta=70.10 gamma=90.00
Fractional positions:
Ir (0.750, 0.250, 0.500)
Ir (0.250, 0.750, 0.500)
Cr (0.602, 0.602, 0.797)
Cr (0.398, 0.398, 0.203)
Hg (0.000, 0.000, 0.000)

---

No. 10
This record from the Alexandria database describes crystalline CrHgIr4 at its relaxed geometry. The functional is PBE.

Results
Total moment: 0.463 μB/atom
Crystal system: cubic
Final energy: -0.260 hartree per atom
Energy of formation: 0.480 eV/atom
Fermi-level density of states: 1.641 states/eV per atom
Space-group type: F-43m

Unit cell a=5.222 b=5.222 c=5.222 alpha=60.00 beta=60.00 gamma=60.00
Each line ends with the local moment (μB).
Fractional positions:
Ir (0.874, 0.375, 0.375)  -0.20
Ir (0.375, 0.375, 0.375)  -0.20
Ir (0.375, 0.375, 0.874)  -0.20
Ir (0.375, 0.874, 0.375)  -0.20
Hg (0.000, 0.000, 0.000)  0.00
Cr (0.750, 0.750, 0.750)  3.31